Entry 1:
A geometry-optimized Sr2MgSb3Rh4 structure. Source: Alexandria via LeMat-Bulk, functional GGA-PBE.

Calculated values
formation energy (no corrections) = -7.1 eV per formula unit
ρ = 7.4 g/cm³
total magnetic moment = 0.00 μB per atom

Unit cell a=4.4347 b=4.4347 c=11.1410 alpha=90.00 beta=90.00 gamma=90.00
Fractional positions:
Sr (0.0000, 0.5000, 0.2489)
Sr (0.5000, 0.0000, 0.7511)
Mg (0.5000, 0.5000, 0.0000)
Sb (0.0000, 0.0000, 0.0000)
Sb (0.0000, 0.5000, 0.6316)
Sb (0.5000, 0.0000, 0.3684)
Rh (0.0000, 0.0000, 0.5000)
Rh (0.0000, 0.5000, 0.8670)
Rh (0.5000, 0.0000, 0.1330)
Rh (0.5000, 0.5000, 0.5000)

Entry 2:
A geometry-optimized Sr2MgSb4Rh3 structure. Source: Alexandria via LeMat-Bulk, functional GGA-PBE.

Calculated values
formation energy (no corrections) = -6.8 eV per formula unit
ρ = 7.0 g/cm³
total magnetic moment = 0.00 μB per atom

Unit cell a=4.6039 b=4.6039 c=11.1394 alpha=90.00 beta=90.00 gamma=90.00
Fractional positions:
Sr (0.0000, 0.5000, 0.2453)
Sr (0.5000, 0.0000, 0.7547)
Mg (0.0000, 0.0000, 0.5000)
Sb (0.0000, 0.0000, 0.0000)
Sb (0.0000, 0.5000, 0.6440)
Sb (0.5000, 0.0000, 0.3560)
Sb (0.5000, 0.5000, 0.0000)
Rh (0.0000, 0.5000, 0.8824)
Rh (0.5000, 0.0000, 0.1176)
Rh (0.5000, 0.5000, 0.5000)

Entry 3:
A geometry-optimized MgTaSb2Rh structure. Source: Alexandria via LeMat-Bulk, functional GGA-PBE.

Calculated values
formation energy (no corrections) = 3.5 eV per formula unit
ρ = 7.6 g/cm³
total magnetic moment = 0.44 μB per atom

Unit cell a=5.0776 b=5.0776 c=4.6545 alpha=90.00 beta=90.00 gamma=90.00
Fractional positions:
Mg (0.0000, 0.0000, 0.0000)
Ta (0.5000, 0.5000, 0.0000)
Sb (0.0000, 0.5000, 0.5000)
Sb (0.5000, 0.0000, 0.5000)
Rh (0.0000, 0.0000, 0.5000)

Entry 4:
A geometry-optimized MgTcSbRh structure. Source: Alexandria via LeMat-Bulk, functional GGA-PBE.

Calculated values
formation energy (no corrections) = -1.0 eV per formula unit
ρ = 9.0 g/cm³
total magnetic moment = 0.00 μB per atom

Unit cell a=4.4919 b=4.4919 c=4.4919 alpha=60.00 beta=60.00 gamma=60.00
Fractional positions:
Mg (0.0000, 0.0000, 0.0000)
Tc (0.2500, 0.2500, 0.2500)
Sb (0.5000, 0.5000, 0.5000)
Rh (0.7500, 0.7500, 0.7500)